# Os2AuBr

A geometry-optimized Os2AuBr structure (GGA-PBE, Alexandria).

Cell: 2.8529 4.7748 10.2322 Å, 90.00 90.00 90.00°
Closest atoms and distances in Å follow each position.
Space group Imm2 (No. 44)
Asymmetric unit:
Os 0.0000 0.0000 0.0000  2 Os 2.54, 4 Br 2.83
Os 0.0000 0.5000 0.2949  2 Os 2.54, 4 Au 2.80
Au 0.0000 0.5000 0.7604  6 Os 2.80-3.02, 2 Au 2.85
Br 0.0000 0.0000 0.5525  6 Os 2.83-2.86, 2 Br 2.85

Properties
Total magnetization in μB per formula unit: 0.01
Raw formation energy in eV/atom: 1.14
Fermi-level density of states in states/eV/cell: 9.21
Density in kg/m3: 15662


# Os4AuBr

A geometry-optimized Os4AuBr structure (GGA-PBE, Alexandria).

Cell: 7.4476 7.4476 7.4476 Å, 90.00 90.00 90.00°
Closest atoms and distances in Å follow each position.
Space group F-43m (No. 216)
Asymmetric unit:
Os 0.1250 0.1250 0.1250  6 Os 2.63
Au 0.2500 0.2500 0.7500  12 Os 3.09, 4 Br 3.22
Br 0.0000 0.0000 0.5000  12 Os 3.09, 4 Au 3.22

Properties
Total magnetization in μB per formula unit: 1.98
Raw formation energy in eV/atom: 1.48
Fermi-level density of states in states/eV/cell: 39.57
Density in kg/m3: 16687


# Os2AuBr

A geometry-optimized Os2AuBr structure (GGA-PBE, Alexandria).

Cell: 2.9413 4.6001 5.3765 Å, 90.00 99.71 90.00°
Closest atoms and distances in Å follow each position.
Space group P2/m (No. 10)
Asymmetric unit:
Os 0.1562 0.0000 0.2954  2 Os 2.52-2.73, 2 Au 2.67, 2 Br 2.79
Au 0.5000 0.5000 0.5000  4 Os 2.67, 2 Br 2.84, 2 Au 2.94
Br 0.0000 0.5000 0.0000  4 Os 2.79, 2 Au 2.84, 2 Br 2.94

Properties
Total magnetization in μB per formula unit: 0.00
Raw formation energy in eV/atom: 1.27
Fermi-level density of states in states/eV/cell: 4.06
Density in kg/m3: 15223


# Os2AuBr

A geometry-optimized Os2AuBr structure (GGA-PBE, Alexandria).

Cell: 5.4494 9.5943 2.9734 Å, 90.00 119.50 90.00°
Closest atoms and distances in Å follow each position.
Space group C2/m (No. 12)
Asymmetric unit:
Os 0.2500 0.2500 0.0000  6 Os 2.72-2.97, 2 Br 2.80, 2 Au 2.80
Au 0.0000 0.0000 0.5000  4 Br 2.72-2.88, 4 Os 2.80, 2 Au 2.97
Br 0.0000 0.5000 0.5000  4 Au 2.72-2.88, 4 Os 2.80, 2 Br 2.97

Properties
Total magnetization in μB per formula unit: 0.00
Raw formation energy in eV/atom: 1.39
Fermi-level density of states in states/eV/cell: 10.10
Density in kg/m3: 16133


Number 1 is which compound?
Os2AuBr


Copy entry 1 word for word.
# Os2AuBr

A geometry-optimized Os2AuBr structure (GGA-PBE, Alexandria).

Cell: 2.8529 4.7748 10.2322 Å, 90.00 90.00 90.00°
Closest atoms and distances in Å follow each position.
Space group Imm2 (No. 44)
Asymmetric unit:
Os 0.0000 0.0000 0.0000  2 Os 2.54, 4 Br 2.83
Os 0.0000 0.5000 0.2949  2 Os 2.54, 4 Au 2.80
Au 0.0000 0.5000 0.7604  6 Os 2.80-3.02, 2 Au 2.85
Br 0.0000 0.0000 0.5525  6 Os 2.83-2.86, 2 Br 2.85

Properties
Total magnetization in μB per formula unit: 0.01
Raw formation energy in eV/atom: 1.14
Fermi-level density of states in states/eV/cell: 9.21
Density in kg/m3: 15662